# SbMoPO2 | Alexandria via LeMat-Bulk | PBE with a Hubbard U | relaxed
# N(E_F)   1.278 states/eV per cell
# Energy above the lowest structure with this stoichiometry   0 meV per atom
# Volume   16.9 Å³ per atom
data_SbMoPO2
_symmetry_space_group_name_H-M 'P 1'
_symmetry_Int_Tables_number 1
_symmetry_space_group_name_Hall 'P 1'
_cell_length_a 3.9122
_cell_length_b 3.9122
_cell_length_c 5.5369
_cell_angle_alpha 90.00
_cell_angle_beta 90.00
_cell_angle_gamma 90.00
loop_
_atom_site_label
_atom_site_type_symbol
_atom_site_fract_x
_atom_site_fract_y
_atom_site_fract_z
Sb1 Sb 0.5000 0.5000 0.5000
Mo1 Mo 0.0000 0.0000 0.0000
O1 O 0.0000 0.5000 0.0000
O2 O 0.5000 0.0000 0.0000
P1 P 0.0000 0.0000 0.5000